Record 1
VASP calculation (PBE) on an optimized crystal structure of CaPmDyHg.

```
CaPmDyHg
1.0
-1.433 -4.443 2.968
3.893 -3.020 2.515
0.443 0.096 5.513
Ca Pm Dy Hg
1 1 1 1
Direct
0.250 0.250 0.250
0.000 0.000 0.000
0.750 0.750 0.750
0.500 0.500 0.500
```

Output
Energy of formation from the pure elements   15 meV/atom
Total energy   -2.899 eV per atom
DOS at the Fermi energy   4.6 states/eV per cell
Crystal system   cubic

---

Record 2
VASP calculation (PBE) on an optimized crystal structure of Y4Ho3Ni2.

```
Y4Ho3Ni2
1.0
-1.509 -1.761 2.753
7.799 -4.190 1.595
-0.050 8.011 2.744
Y Ni Ho
4 2 3
Direct
0.634 0.894 0.268
0.770 0.347 0.541
0.230 0.653 0.459
0.366 0.106 0.732
0.384 0.563 0.767
0.616 0.437 0.233
0.930 0.811 0.860
0.000 0.500 0.000
0.070 0.189 0.140
```

Output
Energy of formation from the pure elements   -172 meV/atom
Total energy   -5.855 eV per atom
DOS at the Fermi energy   12.5 states/eV per cell
Crystal system   monoclinic

---

Record 3
VASP calculation (PBE) on an optimized crystal structure of Sr2UZnSe5.

```
Sr2UZnSe5
1.0
4.184 0.000 0.000
-2.092 9.167 0.000
0.000 0.000 12.913
Se Sr U Zn
10 4 2 2
Direct
0.051 0.103 0.045
0.500 0.001 0.272
0.500 0.999 0.772
0.291 0.583 0.668
0.709 0.417 0.168
0.357 0.713 0.007
0.949 0.897 0.545
0.643 0.287 0.507
0.307 0.614 0.367
0.693 0.386 0.867
0.111 0.221 0.685
0.889 0.779 0.185
0.120 0.240 0.321
0.880 0.760 0.821
0.205 0.409 0.019
0.795 0.591 0.519
0.442 0.883 0.439
0.558 0.117 0.939
```

Output
ΔE_f (raw)   -1.44 eV/atom
Total energy   -5.147 eV per atom
DOS at the Fermi energy   8.1 states/eV per cell
Crystal system   orthorhombic

---

Record 4
VASP calculation (PBE) on an optimized crystal structure of PrScGe2Ir.

```
PrScGe2Ir
1.0
4.195 0.000 0.000
0.000 4.195 0.000
-2.098 -2.098 5.726
Ir Sc Ge Pr
1 1 2 1
Direct
0.250 0.750 0.500
0.750 0.250 0.500
0.611 0.611 0.222
0.389 0.389 0.778
0.000 0.000 0.000
```

Output
Energy of formation from the pure elements   -859 meV/atom
Total energy   -6.700 eV per atom
DOS at the Fermi energy   2.8 states/eV per cell
Crystal system   tetragonal